1.
{"formula": "CePI", "functional": "PBE", "state": "relaxed", "dos_ef_per_ev_cell": 26.350, "vol_a3_per_cell": 380, "formation_energy_uncorrected_ev_per_atom": -0.70, "dft_energy_ev_per_fu": -15.0, "sg": "C2/m (12)", "e_above_lowest_polymorph_mev_per_atom": 521, "lattice_angstrom": [[7.090, 0.000, 0.000], [0.000, 6.728, 0.000], [-2.536, 0.000, 7.964]], "species": ["Ce", "Ce", "Ce", "Ce", "P", "P", "P", "P", "I", "I", "I", "I"], "fractional_positions": [[0.144, 0.000, 0.288], [0.356, 0.500, 0.712], [0.644, 0.500, 0.288], [0.856, 0.000, 0.712], [0.069, 0.500, 0.395], [0.431, 0.000, 0.605], [0.569, 0.000, 0.395], [0.931, 0.500, 0.605], [0.250, 0.250, 0.000], [0.250, 0.750, 0.000], [0.750, 0.250, 0.000], [0.750, 0.750, 0.000]]}

2.
{"formula": "AcNdEuTm", "functional": "PBE", "state": "relaxed", "dos_ef_per_ev_cell": 23.823, "vol_a3_per_cell": 600, "dft_energy_ev_per_fu": -23.1, "sg": "F-43m (216)", "formation_energy_ev_per_atom": 0.120, "lattice_angstrom": [[8.435, 0.000, 0.000], [0.000, 8.435, 0.000], [0.000, 0.000, 8.435]], "species": ["Ac", "Ac", "Ac", "Ac", "Nd", "Nd", "Nd", "Nd", "Eu", "Eu", "Eu", "Eu", "Tm", "Tm", "Tm", "Tm"], "fractional_positions": [[0.000, 0.000, 0.000], [0.000, 0.500, 0.500], [0.500, 0.000, 0.500], [0.500, 0.500, 0.000], [0.000, 0.000, 0.500], [0.000, 0.500, 0.000], [0.500, 0.000, 0.000], [0.500, 0.500, 0.500], [0.250, 0.250, 0.750], [0.250, 0.750, 0.250], [0.750, 0.250, 0.250], [0.750, 0.750, 0.750], [0.250, 0.250, 0.250], [0.250, 0.750, 0.750], [0.750, 0.250, 0.750], [0.750, 0.750, 0.250]]}

- What is the formula in the second record?
  AcNdEuTm